Here is Sr3Mn2VO8 after structural relaxation from Alexandria via LeMat-Bulk. Energies are from PBE+U.

Summary:
Mass density: 4.61 g/cm3
Spin magnetization: 9.00 μB per formula unit
Space-group type: P-3m1
Total DFT energy (no corrections): -6.902 eV per atom

Cell: 5.605 5.605 7.304 Å, 90.00 90.00 120.00°
Last column: magnetic moment on the atom in μB.
Element x y z (fractional)
Sr 0.000 0.000 0.000  0.00
Sr 0.333 0.667 0.631  0.00
Sr 0.667 0.333 0.369  0.00
Mn 0.333 0.667 0.199  4.20
Mn 0.667 0.333 0.801  4.20
O 0.316 0.158 0.656  -0.02
O 0.842 0.684 0.656  -0.02
O 0.667 0.333 0.054  -0.06
O 0.158 0.842 0.344  -0.02
O 0.842 0.158 0.656  -0.02
O 0.333 0.667 0.946  -0.06
O 0.158 0.316 0.344  -0.02
O 0.684 0.842 0.344  -0.02
V 0.000 0.000 0.500  0.44